No. 1
First-principles (PBE with a Hubbard U) data for a relaxed Hg2Mo2O7 crystal, as listed in the Alexandria database.

- DOS at the Fermi energy: 0.00 states/eV per cell
- Excess energy over the best structure of this formula in the dataset: 1 meV/atom
- Space-group type: P2/c

POSCAR file:
```
Hg2Mo2O7
1.0
6.2022 0.0000 0.0000
0.0000 3.9956 0.0000
-3.8605 0.0000 14.4107
Hg Mo O
4 4 14
Direct
0.1469 0.1609 0.0629
0.1469 0.8391 0.5629
0.8531 0.1609 0.4371
0.8531 0.8391 0.9371
0.3099 0.4925 0.8134
0.3099 0.5075 0.3134
0.6901 0.4925 0.6866
0.6901 0.5075 0.1866
0.0000 0.4398 0.2500
0.0000 0.5602 0.7500
0.2959 0.4564 0.4278
0.2959 0.5436 0.9278
0.3095 0.0482 0.8016
0.3095 0.9518 0.3016
0.3667 0.4485 0.1694
0.3667 0.5515 0.6694
0.6333 0.4485 0.3306
0.6333 0.5515 0.8306
0.6905 0.0482 0.6984
0.6905 0.9518 0.1984
0.7041 0.4564 0.0722
0.7041 0.5436 0.5722
```


No. 2
First-principles (PBE with a Hubbard U) data for a relaxed HgMo2O6 crystal, as listed in the Alexandria database.

- Excess energy over the best structure of this formula in the dataset: 33 meV/atom
- Space-group type: C2/m

POSCAR file:
```
HgMo2O6
1.0
5.8040 -2.0374 0.0000
5.8040 2.0374 0.0000
-0.4545 0.0000 6.7885
Hg Mo O
1 2 6
Direct
0.0000 0.0000 0.0000
0.2296 0.2296 0.6776
0.7704 0.7704 0.3224
0.0747 0.0747 0.7382
0.2704 0.2704 0.3902
0.3441 0.3441 0.8575
0.6559 0.6559 0.1425
0.7296 0.7296 0.6098
0.9253 0.9253 0.2618
```


No. 3
First-principles (PBE with a Hubbard U) data for a relaxed Hg2MoO4 crystal, as listed in the Alexandria database.

- DOS at the Fermi energy: 0.00 states/eV per cell
- Excess energy over the best structure of this formula in the dataset: 7 meV/atom
- Space-group type: C2/c

POSCAR file:
```
Hg2MoO4
1.0
4.4653 -6.0468 0.0000
4.4653 6.0468 0.0000
-2.1963 0.0000 4.5520
Hg Mo O
4 2 8
Direct
0.0326 0.2555 0.4789
0.2555 0.0326 0.9789
0.7445 0.9674 0.0211
0.9674 0.7445 0.5211
0.4023 0.5977 0.2500
0.5977 0.4023 0.7500
0.1700 0.5497 0.2993
0.3173 0.4116 0.8534
0.4116 0.3173 0.3534
0.4503 0.8300 0.2007
0.5497 0.1700 0.7993
0.5884 0.6827 0.6466
0.6827 0.5884 0.1466
0.8300 0.4503 0.7007
```


No. 4
First-principles (PBE with a Hubbard U) data for a relaxed Hg2MoO crystal, as listed in the Alexandria database.

- E: -25.52 eV for the cell shown
- DOS at the Fermi energy: 1.86 states/eV per cell
- Space-group type: I-42d

POSCAR file:
```
Hg2MoO
1.0
-5.6339 5.6339 1.9488
5.6339 -5.6339 1.9488
5.6339 5.6339 -1.9488
Hg Mo O
4 2 2
Direct
0.0068 0.6250 0.8818
0.3750 0.2568 0.3818
0.7432 0.1250 0.1182
0.8750 0.9932 0.6182
0.2500 0.7500 0.5000
0.5000 0.5000 0.0000
0.0000 0.0000 0.0000
0.7500 0.2500 0.5000
```


No. 5
First-principles (PBE with a Hubbard U) data for a relaxed Hg4Mo2O9 crystal, as listed in the Alexandria database.

- E: -148.17 eV for the cell shown
- Space-group type: P-1

POSCAR file:
```
Hg4Mo2O9
1.0
5.9368 0.0000 0.0000
2.9612 5.2655 0.0000
0.0202 3.1687 17.8497
Hg Mo O
8 4 18
Direct
0.0292 0.1760 0.4580
0.1229 0.6269 0.7631
0.3800 0.0100 0.7413
0.4681 0.1755 0.0382
0.5319 0.8245 0.9618
0.6200 0.9900 0.2587
0.8771 0.3731 0.2369
0.9708 0.8240 0.5420
0.1897 0.6976 0.1532
0.3084 0.5430 0.3433
0.6916 0.4570 0.6567
0.8103 0.3024 0.8468
0.0214 0.7968 0.2572
0.0756 0.4857 0.3984
0.1062 0.2877 0.8734
0.1440 0.0026 0.1154
0.2527 0.3045 0.2478
0.3465 0.7698 0.3834
0.3896 0.7484 0.6317
0.4274 0.4747 0.0966
0.4765 0.5912 0.2400
0.5235 0.4088 0.7600
0.5726 0.5253 0.9034
0.6104 0.2516 0.3683
0.6535 0.2302 0.6166
0.7473 0.6955 0.7522
0.8560 0.9974 0.8846
0.8938 0.7123 0.1266
0.9244 0.5143 0.6016
0.9786 0.2032 0.7428
```


No. 6
First-principles (PBE with a Hubbard U) data for a relaxed HgMoO3 crystal, as listed in the Alexandria database.

- E: -111.42 eV for the cell shown
- DOS at the Fermi energy: 3.78 states/eV per cell
- Space-group type: P2/c

POSCAR file:
```
HgMoO3
1.0
5.2166 0.0000 0.0000
0.0000 10.4235 0.0000
-2.3148 0.0000 10.4937
Hg Mo O
4 4 12
Direct
0.0001 0.0474 0.1207
0.9999 0.0474 0.3793
0.0001 0.9526 0.6207
0.9999 0.9526 0.8793
0.0666 0.4176 0.6193
0.0666 0.5824 0.1193
0.9334 0.4176 0.8807
0.9334 0.5824 0.3807
0.1428 0.2658 0.5749
0.1428 0.7342 0.0749
0.2301 0.4582 0.0402
0.2301 0.5418 0.5402
0.2392 0.4266 0.7946
0.2392 0.5734 0.2946
0.7608 0.4266 0.7054
0.7608 0.5734 0.2054
0.7699 0.4582 0.4598
0.7699 0.5418 0.9598
0.8572 0.2658 0.9251
0.8572 0.7342 0.4251
```